Record 1
DFT (PBE) results for a geometry-optimized PrTmMg structure.

It has space group P3m1 (No. 156), with a = 5.4953 Å, b = 5.4953 Å, c = 3.4399 Å, α = 90.00°, β = 90.00° and γ = 120.00°. The distinct sites, in fractional coordinates, are Pr at (0.0000, 0.0000, 0.0000), Tm at (0.3333, 0.6667, 0.4354) and Mg at (0.6667, 0.3333, 0.6720).

Its total energy is -3.57 eV/atom. The calculation puts the total magnetization at 0.00 μB/cell. The value obtained for the formation energy is 0.049 eV/atom.



Record 2
DFT (PBE) results for a geometry-optimized KRb2SeI6 structure.

It has space group I4/mmm (No. 139), with a = 8.681 Å, b = 8.681 Å, c = 13.361 Å, α = 90.00°, β = 90.00° and γ = 90.00°. The distinct sites, in fractional coordinates, are K at (0.000, 0.000, 0.000), Rb at (0.000, 0.500, 0.250), Se at (0.000, 0.000, 0.500), I at (0.000, 0.000, 0.251) and I at (0.227, 0.227, 0.500).

Its total energy is -2.34 eV/atom. The calculation puts the total magnetization at 2.00 μB/cell.



Record 3
DFT (PBE) results for a geometry-optimized KPmGd2 structure.

It has space group R-3m (No. 166, hexagonal axes), with a = 3.6392 Å, b = 3.6392 Å, c = 39.9854 Å, α = 90.00°, β = 90.00° and γ = 120.00°. The distinct sites, in fractional coordinates, are K at (0.0000, 0.0000, 0.0000), Pm at (0.0000, 0.0000, 0.5000) and Gd at (0.0000, 0.0000, 0.0954).

Its total energy is -8.28 eV/atom. The calculation puts the total magnetization at 45.70 μB/cell. The value obtained for the formation energy is 0.220 eV/atom.